Record 1
BaSrGaBr: relaxed, PBE-GGA.

Cell and atoms, written as POSCAR:
```
BaSrGaBr
1.0
0.0000 4.1235 4.1235
4.1235 0.0000 4.1235
4.1235 4.1235 0.0000
Ba Sr Ga Br
1 1 1 1
Direct
0.0000 0.0000 0.0000
0.5000 0.5000 0.5000
0.7500 0.7500 0.7500
0.2500 0.2500 0.2500
```

Calculated values
- Uncorrected energy: -11.2 eV/f.u.
- M_tot: 1.92 μB per cell

---

Record 2
K3RbAu: relaxed, PBE-GGA.

Cell and atoms, written as POSCAR:
```
K3RbAu
1.0
12.4408 -2.6810 0.0000
12.4408 2.6810 0.0000
-2.5614 0.0000 8.2090
K Rb Au
6 2 2
Direct
0.0558 0.0558 0.3241
0.2188 0.2188 0.8346
0.3138 0.3138 0.5388
0.6862 0.6862 0.4612
0.7812 0.7812 0.1654
0.9442 0.9442 0.6759
0.4032 0.4032 0.0591
0.5968 0.5968 0.9409
0.1867 0.1867 0.2021
0.8133 0.8133 0.7979
```

Calculated values
- Energy above the most stable polymorph in this dataset: 0.015 eV per atom
- ΔE_f: -2.72 kcal/mol of atoms
- M_tot: 0.00 μB per cell

---

Record 3
Pr2ErU2Ru5: relaxed, PBE-GGA.

Cell and atoms, written as POSCAR:
```
Pr2ErU2Ru5
1.0
10.9126 0.0000 0.0000
0.0000 10.9126 0.0000
0.0000 0.0000 3.5201
Pr Er U Ru
4 2 4 10
Direct
0.1749 0.3251 0.0000
0.3251 0.8251 0.0000
0.6749 0.1749 0.0000
0.8251 0.6749 0.0000
0.0000 0.0000 0.0000
0.5000 0.5000 0.0000
0.1369 0.6369 0.0000
0.3631 0.1369 0.0000
0.6369 0.8631 0.0000
0.8631 0.3631 0.0000
0.0000 0.5000 0.5000
0.0495 0.7844 0.5000
0.2156 0.0495 0.5000
0.2844 0.5495 0.5000
0.4505 0.2844 0.5000
0.5000 0.0000 0.5000
0.5495 0.7156 0.5000
0.7156 0.4505 0.5000
0.7844 0.9505 0.5000
0.9505 0.2156 0.5000
```

Calculated values
- ΔE_f: -4.97 kcal/mol of atoms
- M_tot: 0.00 μB per cell

---

Record 4
CsRbRh3: relaxed, PBE-GGA.

Cell and atoms, written as POSCAR:
```
CsRbRh3
1.0
5.1340 0.0000 0.0000
0.0000 5.1340 0.0000
0.0000 0.0000 5.1340
Cs Rb Rh
1 1 3
Direct
0.0000 0.0000 0.0000
0.5000 0.5000 0.5000
0.0000 0.0000 0.5000
0.0000 0.5000 0.0000
0.5000 0.0000 0.0000
```

Calculated values
- Energy above the most stable polymorph in this dataset: 0.000 eV per atom
- ΔE_f: 39.55 kcal/mol of atoms
- M_tot: 0.90 μB per cell

---

Record 5
Ba12Sr7Ac: relaxed, PBE-GGA.

Cell and atoms, written as POSCAR:
```
Ba12Sr7Ac
1.0
11.8839 6.8611 2.5859
-11.8839 6.8611 2.5859
0.0000 -13.7223 2.5859
Ba Sr Ac
12 7 1
Direct
0.0351 0.3962 0.0744
0.0610 0.6221 0.4448
0.0744 0.0351 0.3962
0.3779 0.5552 0.9390
0.3962 0.0744 0.0351
0.4448 0.0610 0.6221
0.5552 0.9390 0.3779
0.6038 0.9256 0.9649
0.6221 0.4448 0.0610
0.9256 0.9649 0.6038
0.9390 0.3779 0.5552
0.9649 0.6038 0.9256
0.0000 0.0000 0.0000
0.1682 0.3885 0.4411
0.3885 0.4411 0.1682
0.4411 0.1682 0.3885
0.5589 0.8318 0.6115
0.6115 0.5589 0.8318
0.8318 0.6115 0.5589
0.5000 0.5000 0.5000
```

Calculated values
- ΔE_f: 4.20 kcal/mol of atoms
- M_tot: 0.00 μB per cell

---

Record 6
Li2MgBe: relaxed, PBE-GGA.

Cell and atoms, written as POSCAR:
```
Li2MgBe
1.0
0.0000 3.1239 3.1239
3.1239 0.0000 3.1239
3.1239 3.1239 0.0000
Li Mg Be
2 1 1
Direct
0.2500 0.2500 0.2500
0.7500 0.7500 0.7500
0.0000 0.0000 0.0000
0.5000 0.5000 0.5000
```

Calculated values
- Energy above the most stable polymorph in this dataset: 0.055 eV per atom
- ΔE_f: 4.78 kcal/mol of atoms
- M_tot: 0.00 μB per cell

---

Record 7
Ho2Ni4AsP3: relaxed, PBE-GGA.

Cell and atoms, written as POSCAR:
```
Ho2Ni4AsP3
1.0
3.9966 0.0000 0.0000
0.0000 3.9966 0.0000
0.0000 0.0000 9.2144
Ho Ni As P
2 4 1 3
Direct
0.0000 0.5000 0.2447
0.5000 0.0000 0.7553
0.0000 0.0000 0.0000
0.0000 0.5000 0.6284
0.5000 0.0000 0.3716
0.5000 0.5000 0.0000
0.0000 0.0000 0.5000
0.0000 0.5000 0.8714
0.5000 0.0000 0.1286
0.5000 0.5000 0.5000
```

Calculated values
- ΔE_f: -21.25 kcal/mol of atoms
- M_tot: 0.00 μB per cell

---

Record 8
TaPbI2O: relaxed, PBE-GGA.

Cell and atoms, written as POSCAR:
```
TaPbI2O
1.0
6.1444 0.0000 0.0000
0.0000 6.1444 0.0000
0.0000 0.0000 4.1730
Ta Pb I O
1 1 2 1
Direct
0.0000 0.0000 0.0000
0.5000 0.5000 0.5000
0.0000 0.5000 0.5000
0.5000 0.0000 0.5000
0.5000 0.5000 0.0000
```

Calculated values
- Energy above the most stable polymorph in this dataset: 1.320 eV per atom
- M_tot: 3.54 μB per cell

---

Record 9
HfMgTaNb2: relaxed, PBE-GGA.

Cell and atoms, written as POSCAR:
```
HfMgTaNb2
1.0
4.7557 0.0000 0.0000
0.0000 4.7557 0.0000
0.0000 0.0000 4.8077
Hf Mg Ta Nb
1 1 1 2
Direct
0.0000 0.0000 0.0000
0.5000 0.5000 0.5000
0.5000 0.5000 0.0000
0.0000 0.5000 0.5000
0.5000 0.0000 0.5000
```

Calculated values
- ΔE_f: 35.95 kcal/mol of atoms
- M_tot: 0.00 μB per cell

---

Record 10
DyMgTlPt: relaxed, PBE-GGA.

Cell and atoms, written as POSCAR:
```
DyMgTlPt
1.0
0.0000 3.5062 3.5062
3.5062 0.0000 3.5062
3.5062 3.5062 0.0000
Dy Mg Tl Pt
1 1 1 1
Direct
0.0000 0.0000 0.0000
0.5000 0.5000 0.5000
0.7500 0.7500 0.7500
0.2500 0.2500 0.2500
```

Calculated values
- ΔE_f: -13.93 kcal/mol of atoms
- M_tot: 0.00 μB per cell

---

Record 11
Tl3SnOs: relaxed, PBE-GGA.

Cell and atoms, written as POSCAR:
```
Tl3SnOs
1.0
5.3229 0.0000 0.0000
0.0000 5.3229 0.0000
0.0000 0.0000 5.3229
Tl Sn Os
3 1 1
Direct
0.0000 0.0000 0.5000
0.0000 0.5000 0.0000
0.5000 0.0000 0.0000
0.5000 0.5000 0.5000
0.0000 0.0000 0.0000
```

Calculated values
- Energy above the most stable polymorph in this dataset: 0.000 eV per atom
- ΔE_f: 14.83 kcal/mol of atoms
- M_tot: 1.14 μB per cell

---

Record 12
Hf2CuGe4: relaxed, PBE-GGA.

Cell and atoms, written as POSCAR:
```
Hf2CuGe4
1.0
1.9183 -16.3762 0.0000
1.9183 16.3762 0.0000
0.0000 0.0000 3.8251
Hf Cu Ge
4 2 8
Direct
0.0468 0.9532 0.7500
0.3225 0.6775 0.7500
0.6775 0.3225 0.2500
0.9532 0.0468 0.2500
0.2500 0.7500 0.2500
0.7500 0.2500 0.7500
0.1133 0.8867 0.2500
0.2019 0.7981 0.7500
0.3872 0.6128 0.2500
0.4716 0.5284 0.7500
0.5284 0.4716 0.2500
0.6128 0.3872 0.7500
0.7981 0.2019 0.2500
0.8867 0.1133 0.7500
```

Calculated values
- ΔE_f: -10.04 kcal/mol of atoms
- M_tot: 0.00 μB per cell